Record 1
DFT (PBE-GGA) results for Be2GaTc2Ru5 after structural relaxation.

a = 9.3128 Å, b = 9.3128 Å, c = 2.9557 Å
α = 90.00°, β = 90.00°, γ = 90.00°
Last column: nearest neighbours and their distance in Å.
Element x y z (fractional)
Be 0.1261 0.3739 0.0000  6 Ru 2.22
Be 0.3739 0.8739 0.0000  6 Ru 2.22
Be 0.6261 0.1261 0.0000  6 Ru 2.22
Be 0.8739 0.6261 0.0000  6 Ru 2.22
Ga 0.0000 0.0000 0.0000  8 Ru 2.51
Ga 0.5000 0.5000 0.0000  8 Ru 2.51
Tc 0.1784 0.6784 0.0000  3 Be 2.58-2.88, 10 Ru 2.78-2.87
Tc 0.3216 0.1784 0.0000  3 Be 2.58-2.88, 10 Ru 2.78-2.87
Tc 0.6784 0.8216 0.0000  3 Be 2.58-2.88, 10 Ru 2.78-2.87
Tc 0.8216 0.3216 0.0000  3 Be 2.58-2.88, 10 Ru 2.78-2.87
Ru 0.0000 0.5000 0.5000  4 Be 2.22
Ru 0.0591 0.2094 0.5000  2 Be 2.22
Ru 0.2094 0.9409 0.5000  2 Be 2.22
Ru 0.2906 0.4409 0.5000  2 Be 2.22
Ru 0.4409 0.7094 0.5000  2 Be 2.22
Ru 0.5000 0.0000 0.5000  4 Be 2.22
Ru 0.5591 0.2906 0.5000  2 Be 2.22
Ru 0.7094 0.5591 0.5000  2 Be 2.22
Ru 0.7906 0.0591 0.5000  2 Be 2.22
Ru 0.9409 0.7906 0.5000  2 Be 2.22

**Symmetry**: P4/mbm, No. 127
**Calculated volume**: 256.3 Å³/cell
**N(E_F)**: 0.8782 states/eV per atom
**E_form**: -78 meV/atom

Record 2
DFT (PBE-GGA) results for Ti2Be2GaRu5 after structural relaxation.

a = 9.2213 Å, b = 9.2213 Å, c = 3.1146 Å
α = 90.00°, β = 90.00°, γ = 90.00°
Last column: nearest neighbours and their distance in Å.
Element x y z (fractional)
Ti 0.1721 0.3279 0.0000  3 Be 2.63-2.78, 6 Ru 2.73-2.82
Ti 0.3279 0.8279 0.0000  3 Be 2.63-2.78, 6 Ru 2.73-2.82
Ti 0.6721 0.1721 0.0000  3 Be 2.63-2.78, 6 Ru 2.73-2.82
Ti 0.8279 0.6721 0.0000  3 Be 2.63-2.78, 6 Ru 2.73-2.82
Be 0.1260 0.6260 0.0000  6 Ru 2.25-2.26
Be 0.3740 0.1260 0.0000  6 Ru 2.25-2.26
Be 0.6260 0.8740 0.0000  6 Ru 2.25-2.26
Be 0.8740 0.3740 0.0000  6 Ru 2.25-2.26
Ga 0.0000 0.0000 0.0000  8 Ru 2.55
Ga 0.5000 0.5000 0.0000  8 Ru 2.55
Ru 0.0000 0.5000 0.5000  4 Be 2.26
Ru 0.0753 0.7943 0.5000  2 Be 2.25
Ru 0.2057 0.0753 0.5000  2 Be 2.25
Ru 0.2943 0.5753 0.5000  2 Be 2.25
Ru 0.4247 0.2943 0.5000  2 Be 2.25
Ru 0.5000 0.0000 0.5000  4 Be 2.26
Ru 0.5753 0.7057 0.5000  2 Be 2.25
Ru 0.7057 0.4247 0.5000  2 Be 2.25
Ru 0.7943 0.9247 0.5000  2 Be 2.25
Ru 0.9247 0.2057 0.5000  2 Be 2.25

**Symmetry**: P4/mbm, No. 127
**Calculated volume**: 264.8 Å³/cell
**N(E_F)**: 1.3275 states/eV per atom
**E_form**: -371 meV/atom